*one*
# CaBr5 | Alexandria via LeMat-Bulk | GGA-PBEsol | optimized geometry
# Crystal system: cubic
# DOS at the Fermi energy: 3.42 states/eV/f.u.
# Space-group type: F-43m
data_CaBr5
_chemical_formula_sum 'Ca1 Br5'
_cell_length_a 6.077
_cell_length_b 6.077
_cell_length_c 6.077
_cell_angle_alpha 60.00
_cell_angle_beta 60.00
_cell_angle_gamma 60.00
_symmetry_space_group_name_H-M 'P 1'
_symmetry_Int_Tables_number 1
loop_
_symmetry_equiv_pos_as_xyz
'x,y,z'
loop_
_atom_site_label
_atom_site_type_symbol
_atom_site_fract_x
_atom_site_fract_y
_atom_site_fract_z
Ca1 Ca 0.000 0.000 0.000
Br1 Br 0.375 0.375 0.375
Br2 Br 0.375 0.375 0.875
Br3 Br 0.375 0.875 0.375
Br4 Br 0.750 0.750 0.750
Br5 Br 0.875 0.375 0.375

*two*
# CaBr5 | Alexandria via LeMat-Bulk | GGA-PBEsol | optimized geometry
# Crystal system: hexagonal
# DOS at the Fermi energy: 4.31 states/eV/f.u.
# Space-group type: P-62m
data_CaBr5
_chemical_formula_sum 'Ca1 Br5'
_cell_length_a 5.285
_cell_length_b 5.285
_cell_length_c 6.678
_cell_angle_alpha 90.00
_cell_angle_beta 90.00
_cell_angle_gamma 120.00
_symmetry_space_group_name_H-M 'P 1'
_symmetry_Int_Tables_number 1
loop_
_symmetry_equiv_pos_as_xyz
'x,y,z'
loop_
_atom_site_label
_atom_site_type_symbol
_atom_site_fract_x
_atom_site_fract_y
_atom_site_fract_z
Ca1 Ca 0.000 0.000 0.000
Br1 Br 0.000 0.676 0.500
Br2 Br 0.324 0.324 0.500
Br3 Br 0.333 0.667 0.000
Br4 Br 0.667 0.333 0.000
Br5 Br 0.676 0.000 0.500

Energies relative to the most stable structure are *one* 0.216; *two* 0.000, reported in eV/atom.

*one*
# Ca2CdBr | Alexandria via LeMat-Bulk | GGA-PBEsol | optimized geometry
# Crystal system: orthorhombic
# DOS at the Fermi energy: 2.71 states/eV/f.u.
# Space-group type: Amm2
data_Ca2CdBr
_chemical_formula_sum 'Ca4 Cd2 Br2'
_cell_length_a 5.038
_cell_length_b 3.751
_cell_length_c 12.232
_cell_angle_alpha 90.00
_cell_angle_beta 90.00
_cell_angle_gamma 90.00
_symmetry_space_group_name_H-M 'P 1'
_symmetry_Int_Tables_number 1
loop_
_symmetry_equiv_pos_as_xyz
'x,y,z'
loop_
_atom_site_label
_atom_site_type_symbol
_atom_site_fract_x
_atom_site_fract_y
_atom_site_fract_z
Ca1 Ca 0.000 0.000 0.000
Ca2 Ca 0.000 0.500 0.500
Ca3 Ca 0.500 0.000 0.261
Ca4 Ca 0.500 0.500 0.761
Cd1 Cd 0.500 0.000 0.526
Cd2 Cd 0.500 0.500 0.026
Br1 Br 0.000 0.000 0.758
Br2 Br 0.000 0.500 0.258

*two*
# Ca2CdBr | Alexandria via LeMat-Bulk | GGA-PBEsol | optimized geometry
# Crystal system: orthorhombic
# DOS at the Fermi energy: 2.58 states/eV/f.u.
# Space-group type: Imm2
data_Ca2CdBr
_chemical_formula_sum 'Ca4 Cd2 Br2'
_cell_length_a 3.656
_cell_length_b 3.869
_cell_length_c 16.629
_cell_angle_alpha 90.00
_cell_angle_beta 90.00
_cell_angle_gamma 90.00
_symmetry_space_group_name_H-M 'P 1'
_symmetry_Int_Tables_number 1
loop_
_symmetry_equiv_pos_as_xyz
'x,y,z'
loop_
_atom_site_label
_atom_site_type_symbol
_atom_site_fract_x
_atom_site_fract_y
_atom_site_fract_z
Ca1 Ca 0.000 0.000 0.000
Ca2 Ca 0.000 0.500 0.258
Ca3 Ca 0.500 0.000 0.758
Ca4 Ca 0.500 0.500 0.500
Cd1 Cd 0.000 0.500 0.855
Cd2 Cd 0.500 0.000 0.355
Br1 Br 0.000 0.000 0.600
Br2 Br 0.500 0.500 0.100

Energies relative to the most stable structure are *one* 0.010; *two* 0.000, reported in eV/atom.